Entry 1:
## KIn4Hg (PBE)

Data for KIn4Hg after structural relaxation.

Cell: 4.976 7.782 9.334 Å, 90.00 105.46 90.00°
Positions (direct):
K1 0.130 0.250 0.259
K2 0.870 0.750 0.741
In1 0.942 0.250 0.883
In2 0.500 0.500 0.000
In3 0.671 0.552 0.342
In4 0.671 0.948 0.342
In5 0.500 0.000 0.000
In6 0.058 0.750 0.117
In7 0.329 0.052 0.658
In8 0.329 0.448 0.658
Hg1 0.227 0.750 0.453
Hg2 0.773 0.250 0.547

## Properties
Its energy above the most stable polymorph in this dataset is 0 meV/atom. The value obtained for the volume is 348 Å³/cell. The calculation puts the total magnetization at 0.00 μB per cell. As for the calculated formation energy: -0.09 eV/atom.

Entry 2:
## CaSnSb2I (PBE)

Data for CaSnSb2I after structural relaxation.

Cell: 5.862 5.862 5.776 Å, 90.00 90.00 90.00°
Positions (direct):
Ca1 0.000 0.000 0.000
Sb1 0.500 0.000 0.000
Sb2 0.000 0.500 0.000
Sn1 0.500 0.500 0.500
I1 0.000 0.000 0.500

## Properties
Its energy above the most stable polymorph in this dataset is 218 meV/atom. The value obtained for the volume is 198 Å³/cell. The calculation puts the total magnetization at 0.00 μB per cell. The value obtained for the formation energy (no corrections) is 0.303 eV/atom.

Entry 3:
## CeTcNiP2 (PBE)

Data for CeTcNiP2 after structural relaxation.

Cell: 3.845 3.845 6.179 Å, 108.13 108.13 90.00°
Positions (direct):
Ce1 0.000 0.000 0.000
P1 0.367 0.367 0.733
P2 0.633 0.633 0.267
Ni1 0.250 0.750 0.500
Tc1 0.750 0.250 0.500

## Properties
The value obtained for the volume is 82 Å³/cell. The calculation puts the total magnetization at 0.64 μB per cell. As for the calculated formation energy: -0.91 eV/atom.

Entry 4:
## GaAg3N (PBE)

Data for GaAg3N after structural relaxation.

Cell: 4.444 4.444 4.444 Å, 90.00 90.00 90.00°
Positions (direct):
Ag1 0.500 0.000 0.000
Ag2 0.000 0.000 0.500
Ag3 0.000 0.500 0.000
Ga1 0.500 0.500 0.500
N1 0.000 0.000 0.000

## Properties
Its energy above the most stable polymorph in this dataset is 0 meV/atom. The value obtained for the volume is 88 Å³/cell. The calculation puts the total magnetization at 0.00 μB per cell. The value obtained for the formation energy (no corrections) is 0.596 eV/atom.